# FeBi2OsO8 | Alexandria via LeMat-Bulk | GGA+U | optimized geometry
data_FeBi2OsO8
_space_group_name_H-M_alt 'P 1 2/m 1'
_space_group_IT_number 10
_space_group_name_Hall '-P 2y'
_cell_length_a 5.021
_cell_length_b 6.644
_cell_length_c 5.022
_cell_angle_alpha 90.00
_cell_angle_beta 91.14
_cell_angle_gamma 90.00
loop_
_atom_site_label
_atom_site_type_symbol
_atom_site_fract_x
_atom_site_fract_y
_atom_site_fract_z
Fe1 Fe 0.000 0.000 0.000
Bi1 Bi 0.500 0.245 0.500
Os1 Os 0.000 0.500 0.000
O1 O 0.177 0.270 0.831
O2 O 0.255 0.500 0.268
O3 O 0.278 0.000 0.284
# ρ ... 7.85 g/cm³
# DOS at the Fermi energy ... 2.24 states/eV per cell
# Electronic total energy ... -6.4314 eV per atom